This record from Alexandria via LeMat-Bulk describes crystalline ReNiW2 at its relaxed geometry. The functional is GGA-PBE.

**Total DFT energy (no corrections)**: -10.928 eV per atom
**Total magnetic moment**: 0.0 μB/f.u.
**Calculated formation energy**: 105 meV/atom
**Distance to the lowest polymorph of the same formula**: 49.3 meV per atom

a b c (Å): 3.2347 4.2957 8.4544
angles (deg): 90.00 90.00 90.00
With the nearest neighbours (Å) after each atom.
Space group Cmm2 (No. 35)
Inequivalent atoms, fractional coordinates:
Re 0.0000 0.0000 0.0000  2 Ni 2.55, 4 Re 2.69, 2 W 2.74
Ni 0.0000 0.5000 0.7663  2 Re 2.55, 2 W 2.57, 4 Ni 2.69
W 0.0000 0.0000 0.5299  2 Ni 2.57, 6 W 2.69-2.79
W 0.0000 0.5000 0.2617  6 W 2.69-2.79, 2 Re 2.74